This record from Alexandria via LeMat-Bulk describes Sm3PSe6 after structural relaxation. The functional is GGA-PBE.

SG: Cmc2_1, No. 36
E_form (uncorrected): -31.6 kcal/mol of atoms
Total magnetic moment: 0.00 μB/f.u.
E_tot: -5.417 eV per atom

Cell: 7.424 8.893 8.893 Å, 101.93 90.00 90.00°
Positions (direct):
1 Se 0.688 0.313 0.364
2 Se 0.620 0.217 0.783
3 Se 0.120 0.783 0.217
4 Se 0.688 0.636 0.687
5 Se 0.190 0.033 0.967
6 Se 0.690 0.967 0.033
7 Se 0.197 0.425 0.905
8 Se 0.188 0.364 0.313
9 Se 0.197 0.095 0.575
10 Se 0.697 0.905 0.425
11 Se 0.188 0.687 0.636
12 Se 0.697 0.575 0.095
13 Sm 0.401 0.398 0.602
14 Sm 0.973 0.717 0.913
15 Sm 0.473 0.283 0.087
16 Sm 0.473 0.913 0.717
17 Sm 0.973 0.087 0.283
18 Sm 0.901 0.602 0.398
19 P 0.058 0.191 0.809
20 P 0.558 0.809 0.191



This record from Alexandria via LeMat-Bulk describes SmP2Se6 after structural relaxation. The functional is GGA-PBE.

SG: R3, No. 146
E_form (uncorrected): -10.9 kcal/mol of atoms
Total magnetic moment: 0.98 μB/f.u.
DOS(E_F): 9.30 states/eV/cell
E_tot: -4.524 eV per atom

Cell: 6.692 6.692 8.335 Å, 66.33 66.33 60.00°
Each line ends with the local moment (μB).
Positions (direct):
1 Sm 0.349 0.349 0.954  0.00
2 P 0.615 0.615 0.155  0.00
3 P 0.717 0.717 0.848  0.00
4 Se 0.027 0.806 0.768  0.05
5 Se 0.400 0.027 0.768  0.05
6 Se 0.530 0.922 0.247  0.15
7 Se 0.300 0.530 0.247  0.15
8 Se 0.806 0.400 0.768  0.05
9 Se 0.922 0.300 0.247  0.15



This record from Alexandria via LeMat-Bulk describes Sm4PSe2 after structural relaxation. The functional is GGA-PBE.

SG: P-1, No. 2
E_form (uncorrected): -33.1 kcal/mol of atoms
Total magnetic moment: 0.00 μB/f.u.
DOS(E_F): 3.99 states/eV/cell
E_tot: -5.903 eV per atom

Cell: 4.076 7.954 6.953 Å, 64.28 89.98 75.10°
Positions (direct):
1 Sm 0.118 0.765 0.447
2 Sm 0.618 0.765 0.958
3 Sm 0.382 0.235 0.042
4 Sm 0.882 0.235 0.553
5 Se 0.257 0.486 0.260
6 Se 0.743 0.514 0.740
7 P 0.000 0.000 0.000